Here is a relaxed structure of Y3SiPd from the Alexandria database. Energies are from PBE-GGA.

## Properties
Relative energy among the computed polymorphs = 0 meV per atom
Raw total energy = -6.0464 eV/atom
E_form (uncorrected) = -45 meV per atom
DOS at the Fermi energy = 7.17 states/eV/cell
Space group = Pm-3m, No. 221

abc: 5.3124 5.3124 5.3124
angles: 90.00 90.00 90.00
Fractional positions:
Si 0.5000 0.5000 0.5000
Y 0.5000 0.0000 0.0000
Y 0.0000 0.5000 0.0000
Y 0.0000 0.0000 0.5000
Pd 0.0000 0.0000 0.0000



Here is a relaxed structure of TaTlCl2 from the Alexandria database. Energies are from PBE-GGA.

## Properties
Relative energy among the computed polymorphs = 136 meV per atom
Raw total energy = -4.8532 eV/atom
E_form (uncorrected) = -375 meV per atom
DOS at the Fermi energy = 3.03 states/eV/cell
Space group = C2/m, No. 12

abc: 6.8933 6.8933 5.5577
angles: 66.15 66.15 25.91
Each line ends with the local moment (μB).
Fractional positions:
Ta 0.7500 0.7500 0.7500  0.56
Cl 0.4122 0.4122 0.5880  0.01
Cl 0.0878 0.0878 0.9120  0.01
Tl 0.2500 0.2500 0.2500  0.02



Here is a relaxed structure of PmDy8Sc4 from the Alexandria database. Energies are from PBE-GGA.

## Properties
Raw total energy = -4.9034 eV/atom
DOS at the Fermi energy = 16.37 states/eV/cell
Space group = R-3m, No. 166

abc: 7.0913 7.0913 9.7805
angles: 90.00 111.26 120.00
Fractional positions:
Sc 0.0000 0.0000 0.0000
Sc 0.0000 0.5000 0.0000
Sc 0.5000 0.0000 0.0000
Sc 0.5000 0.5000 0.0000
Dy 0.0433 0.7956 0.2910
Dy 0.4363 0.2182 0.6545
Dy 0.9567 0.7523 0.7090
Dy 0.5046 0.7523 0.7090
Dy 0.0433 0.2477 0.2910
Dy 0.5637 0.7818 0.3455
Dy 0.4954 0.2477 0.2910
Dy 0.9567 0.2044 0.7090
Pm 0.0000 0.5000 0.5000



Here is a relaxed structure of CaAl2Re from the Alexandria database. Energies are from PBE-GGA.

## Properties
Relative energy among the computed polymorphs = 220 meV per atom
Raw total energy = -5.3607 eV/atom
DOS at the Fermi energy = 3.04 states/eV/cell
Space group = P4mm, No. 99

abc: 3.3547 3.3547 7.0457
angles: 90.00 90.00 90.00
Fractional positions:
Al 0.0000 0.0000 0.9633
Al 0.5000 0.5000 0.1885
Re 0.5000 0.5000 0.8237
Ca 0.0000 0.0000 0.5245



Question: Among the records above, which one has the lowest DOS at the Fermi energy?
Answer: TaTlCl2



Question: Which value of DOS at the Fermi energy does entry 3 give?
Answer: 16.37 states/eV/cell



Question: What is the formula in the second record?
Answer: TaTlCl2